Entry 1:
Computed, not measured: crystalline KOs3 at its relaxed geometry at the PBE level of DFT.

a = 4.7772 Å, b = 4.7772 Å, c = 11.6016 Å
α = 90.00°, β = 90.00°, γ = 90.00°
Space group I4/mmm (No. 139)
One atom of each set of equivalent atoms:
K 0.0000 0.0000 0.1257 x4
Os 0.0000 0.0000 0.3875 x4
Os 0.0000 0.5000 0.0000 x4
Os 0.0000 0.5000 0.2500 x4

ΔE to the lowest computed polymorph: 985.3 meV/atom
crystal system: tetragonal
DFT total energy: -27.70 eV per formula unit

=====

Entry 2:
Computed, not measured: crystalline K5Os at its relaxed geometry at the PBE level of DFT.

a = 17.4955 Å, b = 3.6380 Å, c = 9.9877 Å
α = 90.00°, β = 114.55°, γ = 90.00°
Space group Cm (No. 8)
One atom of each set of equivalent atoms:
K 0.0000 0.0000 0.0000 x2
K 0.0150 0.0000 0.6504 x2
K 0.1715 0.5000 0.3419 x2
K 0.2442 0.0000 0.7888 x2
K 0.3240 0.0000 0.1904 x2
Os 0.1517 0.5000 0.9707 x2

ΔE to the lowest computed polymorph: 0.0 meV/atom
crystal system: monoclinic
DFT total energy: -11.51 eV per formula unit

=====

Entry 3:
Computed, not measured: crystalline KOs3 at its relaxed geometry at the PBE level of DFT.

a = 4.0658 Å, b = 4.0658 Å, c = 4.0658 Å
α = 90.00°, β = 90.00°, γ = 90.00°
Space group Pm-3m (No. 221)
One atom of each set of equivalent atoms:
K 0.0000 0.0000 0.0000 x1
Os 0.0000 0.5000 0.5000 x3

ΔE to the lowest computed polymorph: 1273.0 meV/atom
crystal system: cubic
DFT total energy: -26.55 eV per formula unit

=====

Entry 4:
Computed, not measured: crystalline KOs3 at its relaxed geometry at the PBE level of DFT.

a = 7.0034 Å, b = 8.7654 Å, c = 4.5785 Å
α = 90.00°, β = 90.00°, γ = 90.00°
Space group Cmcm (No. 63)
One atom of each set of equivalent atoms:
K 0.0000 0.0438 0.2500 x4
Os 0.0000 0.4194 0.2500 x4
Os 0.1739 0.2818 0.7500 x8

ΔE to the lowest computed polymorph: 365.6 meV/atom
crystal system: orthorhombic
DFT total energy: -30.18 eV per formula unit